# 1
Density functional theory data (PBE-GGA) for LiPu2Br5 after structural relaxation.

The structure in POSCAR format:
```
LiPu2Br5
1.0
-2.680 2.485 -0.260
-2.965 -5.381 4.954
6.991 9.005 13.964
Li Pu Br
2 4 10
direct
0.797 0.594 0.750
0.203 0.406 0.250
0.736 0.472 0.457
0.736 0.472 0.043
0.264 0.528 0.543
0.264 0.528 0.957
0.875 0.750 0.876
0.875 0.750 0.624
0.383 0.766 0.423
0.383 0.766 0.077
0.800 0.601 0.250
0.200 0.399 0.750
0.617 0.234 0.577
0.617 0.234 0.923
0.125 0.250 0.124
0.125 0.250 0.376
```

Properties
total DFT energy (no corrections)	-94.19	eV per cell
energy above the lowest structure with this stoichiometry	368	meV per atom
energy relative to the elements, uncorrected	-1.019	eV per atom
size of the total moment	4.05	μB/f.u.

---

# 2
Density functional theory data (PBE-GGA) for SrScTe2 after structural relaxation.

The structure in POSCAR format:
```
SrScTe2
1.0
0.000 3.865 3.865
3.865 0.000 3.865
3.865 3.865 0.000
Sc Sr Te
1 1 2
direct
0.000 0.000 0.000
0.500 0.500 0.500
0.250 0.250 0.250
0.750 0.750 0.750
```

Properties
total DFT energy (no corrections)	-18.48	eV per cell
energy above the lowest structure with this stoichiometry	330	meV per atom
energy relative to the elements, uncorrected	-1.047	eV per atom
size of the total moment	0.92	μB/f.u.

---

# 3
Density functional theory data (PBE-GGA) for CdTe2Mo after structural relaxation.

The structure in POSCAR format:
```
CdTe2Mo
1.0
-1.061 3.247 0.694
-1.877 1.763 -2.349
-9.439 -2.196 3.602
Cd Mo Te
1 1 2
direct
0.750 0.750 0.750
0.250 0.250 0.250
0.971 0.971 0.066
0.529 0.529 0.434
```

Properties
total DFT energy (no corrections)	-18.06	eV per cell
energy relative to the elements, uncorrected	-0.009	eV per atom
size of the total moment	0.00	μB/f.u.

---

# 4
Density functional theory data (PBE-GGA) for LiPaAlCu after structural relaxation.

The structure in POSCAR format:
```
LiPaAlCu
1.0
-3.782 2.672 0.036
-2.794 0.108 -3.691
-4.201 -1.936 0.218
Pa Al Cu Li
1 1 1 1
direct
0.000 0.000 0.000
0.500 0.500 0.500
0.250 0.250 0.250
0.750 0.750 0.750
```

Properties
total DFT energy (no corrections)	-19.17	eV per cell
size of the total moment	0.01	μB/f.u.
formation enthalpy at 0 K	0.02	eV/atom

---

# 5
Density functional theory data (PBE-GGA) for Ac2HoSb2O2 after structural relaxation.

The structure in POSCAR format:
```
Ac2HoSb2O2
1.0
4.506 0.000 0.000
0.000 4.506 0.000
-2.253 -2.253 8.526
Ac Ho Sb O
2 1 2 2
direct
0.385 0.385 0.770
0.615 0.615 0.230
0.000 0.000 0.000
0.186 0.186 0.371
0.814 0.814 0.629
0.000 0.500 0.000
0.500 0.000 0.000
```

Properties
total DFT energy (no corrections)	-45.18	eV per cell
energy relative to the elements, uncorrected	-2.032	eV per atom
size of the total moment	0.00	μB/f.u.

---

# 6
Density functional theory data (PBE-GGA) for ZrGeP2Cl after structural relaxation.

The structure in POSCAR format:
```
ZrGeP2Cl
1.0
5.090 0.000 0.000
0.000 5.090 0.000
0.000 0.000 4.903
P Ge Zr Cl
2 1 1 1
direct
0.000 0.500 0.000
0.500 0.000 0.000
0.500 0.500 0.500
0.000 0.000 0.000
0.000 0.000 0.500
```

Properties
total DFT energy (no corrections)	-25.60	eV per cell
energy above the lowest structure with this stoichiometry	0	meV per atom
energy relative to the elements, uncorrected	0.047	eV per atom
size of the total moment	0.00	μB/f.u.

---

# 7
Density functional theory data (PBE-GGA) for BeMoPt after structural relaxation.

The structure in POSCAR format:
```
BeMoPt
1.0
-0.812 -4.339 1.897
3.051 0.096 -1.616
2.116 2.921 4.177
Be Mo Pt
2 2 2
direct
0.458 0.526 0.448
0.232 0.912 0.205
0.848 0.221 0.261
0.069 0.831 0.598
0.344 0.468 0.993
0.677 0.136 0.739
```

Properties
total DFT energy (no corrections)	-42.59	eV per cell
energy above the lowest structure with this stoichiometry	174	meV per atom
size of the total moment	0.00	μB/f.u.
formation enthalpy at 0 K	-0.23	eV/atom

---

# 8
Density functional theory data (PBE-GGA) for ZrUNi14 after structural relaxation.

The structure in POSCAR format:
```
ZrUNi14
1.0
5.259 -0.011 0.000
0.011 5.259 0.000
0.000 0.000 7.044
Zr U Ni
1 1 14
direct
0.875 0.875 0.500
0.375 0.375 0.500
0.875 0.875 0.000
0.375 0.375 0.000
0.875 0.375 0.500
0.875 0.375 0.000
0.375 0.875 0.500
0.375 0.875 0.000
0.622 0.128 0.236
0.622 0.128 0.764
0.128 0.622 0.236
0.128 0.622 0.764
0.622 0.622 0.236
0.622 0.622 0.764
0.128 0.128 0.236
0.128 0.128 0.764
```

Properties
total DFT energy (no corrections)	-103.24	eV per cell
size of the total moment	2.27	μB/f.u.
formation enthalpy at 0 K	-0.15	eV/atom